# 1
Below is In2SnGeMo after structural relaxation, with properties calculated at the PBE level.

Output
The total magnetization comes out at 4.42 μB per formula unit. The energy of formation comes out at 1.3742 eV/atom.

Cell: 5.5968 5.5968 5.2674 Å, 90.00 90.00 90.00°
Positions (direct):
In1 0.0000 0.5000 0.0000
In2 0.5000 0.0000 0.0000
Sn1 0.0000 0.0000 0.0000
Ge1 0.0000 0.0000 0.5000
Mo1 0.5000 0.5000 0.5000



# 2
Below is InTcGeMo2 after structural relaxation, with properties calculated at the PBE level.

Output
The total magnetization comes out at 0.00 μB per formula unit. The energy of formation comes out at 1.1120 eV/atom.

Cell: 4.6354 4.6354 4.5867 Å, 90.00 90.00 90.00°
Positions (direct):
In1 0.0000 0.0000 0.0000
Tc1 0.5000 0.5000 0.0000
Ge1 0.5000 0.5000 0.5000
Mo1 0.0000 0.5000 0.5000
Mo2 0.5000 0.0000 0.5000



# 3
Below is TiInGeMo2 after structural relaxation, with properties calculated at the PBE level.

Output
The total magnetization comes out at 0.00 μB per formula unit. The energy of formation comes out at 1.9628 eV/atom. The calculation puts the energy relative to the lowest polymorph listed for this composition at 0.584 eV per atom.

Cell: 4.9163 4.9163 4.8779 Å, 90.00 90.00 90.00°
Positions (direct):
Ti1 0.0000 0.0000 0.0000
In1 0.0000 0.0000 0.5000
Ge1 0.5000 0.5000 0.0000
Mo1 0.0000 0.5000 0.5000
Mo2 0.5000 0.0000 0.5000